(1)
# BeCdCoB

A relaxed BeCdCoB crystal (GGA-PBE, OQMD).

a = 3.995 Å, b = 3.995 Å, c = 3.995 Å
α = 60.00°, β = 60.00°, γ = 60.00°
Positions (direct):
1 B 0.000 0.000 0.000
2 Be 0.250 0.250 0.250
3 Cd 0.500 0.500 0.500
4 Co 0.750 0.750 0.750

Calculated values
Polymorph energy (0 for the lowest one)   163.8 meV/atom
Final energy   -15.25 eV for the cell shown

---

(2)
# UNbIn

A relaxed UNbIn crystal (GGA-PBE, OQMD).

a = 4.712 Å, b = 4.712 Å, c = 4.712 Å
α = 60.00°, β = 60.00°, γ = 60.00°
Positions (direct):
1 In 0.250 0.250 0.250
2 Nb 0.000 0.000 0.000
3 U 0.750 0.750 0.750

Calculated values
Polymorph energy (0 for the lowest one)   0.0 meV/atom
Final energy   -21.74 eV for the cell shown

---

(3)
# Pm2Tl2O5

A relaxed Pm2Tl2O5 crystal (GGA-PBE, OQMD).

a = 7.137 Å, b = 4.341 Å, c = 4.341 Å
α = 90.00°, β = 90.00°, γ = 90.00°
Positions (direct):
1 O 0.246 0.500 0.000
2 O 0.754 0.500 0.000
3 O 0.246 0.000 0.500
4 O 0.754 0.000 0.500
5 O 0.500 0.500 0.500
6 Pm 0.000 0.000 0.000
7 Pm 0.500 0.000 0.000
8 Tl 0.194 0.500 0.500
9 Tl 0.806 0.500 0.500

Calculated values
Polymorph energy (0 for the lowest one)   511.5 meV/atom
Final energy   -51.83 eV for the cell shown

---

(4)
# SrMg2GaAu

A relaxed SrMg2GaAu crystal (GGA-PBE, OQMD).

a = 6.845 Å, b = 6.845 Å, c = 6.845 Å
α = 141.77°, β = 141.77°, γ = 55.18°
Positions (direct):
1 Au 0.390 0.390 0.000
2 Ga 0.607 0.607 0.000
3 Mg 0.751 0.251 0.500
4 Mg 0.251 0.751 0.500
5 Sr 0.000 0.000 0.000

Calculated values
Final energy   -13.50 eV for the cell shown

---

(5)
# GaFeReAu

A relaxed GaFeReAu crystal (GGA-PBE, OQMD).

a = 4.392 Å, b = 4.392 Å, c = 4.392 Å
α = 60.00°, β = 60.00°, γ = 60.00°
Positions (direct):
1 Au 0.250 0.250 0.250
2 Fe 0.750 0.750 0.750
3 Ga 0.000 0.000 0.000
4 Re 0.500 0.500 0.500

Calculated values
Polymorph energy (0 for the lowest one)   57.2 meV/atom
Final energy   -25.04 eV for the cell shown

---

(6)
# Cu2Ag

A relaxed Cu2Ag crystal (GGA-PBE, OQMD).

a = 13.223 Å, b = 13.223 Å, c = 13.223 Å
α = 167.94°, β = 164.97°, γ = 19.32°
Positions (direct):
1 Ag 0.457 0.457 0.000
2 Ag 0.768 0.768 0.000
3 Ag 0.885 0.885 0.000
4 Cu 0.016 0.016 0.000
5 Cu 0.113 0.113 0.000
6 Cu 0.210 0.210 0.000
7 Cu 0.327 0.327 0.000
8 Cu 0.564 0.564 0.000
9 Cu 0.661 0.661 0.000

Calculated values
Polymorph energy (0 for the lowest one)   25.7 meV/atom
Final energy   -30.13 eV for the cell shown
E_form   71.5 meV per atom

---

(7)
# FeCuTcGe

A relaxed FeCuTcGe crystal (GGA-PBE, OQMD).

a = 4.215 Å, b = 4.215 Å, c = 4.215 Å
α = 60.00°, β = 60.00°, γ = 60.00°
Positions (direct):
1 Cu 0.750 0.750 0.750
2 Fe 0.500 0.500 0.500
3 Ge 0.000 0.000 0.000
4 Tc 0.250 0.250 0.250

Calculated values
Polymorph energy (0 for the lowest one)   0.0 meV/atom
Final energy   -26.61 eV for the cell shown

---

(8)
# CdGeAs2

A relaxed CdGeAs2 crystal (GGA-PBE, OQMD).

a = 4.880 Å, b = 4.880 Å, c = 4.880 Å
α = 60.00°, β = 60.00°, γ = 60.00°
Positions (direct):
1 As 0.250 0.250 0.250
2 As 0.500 0.500 0.500
3 Cd 0.750 0.750 0.750
4 Ge 0.000 0.000 0.000

Calculated values
Final energy   -13.44 eV for the cell shown

---

(9)
# GdCd2

A relaxed GdCd2 crystal (GGA-PBE, OQMD).

a = 4.972 Å, b = 4.972 Å, c = 3.449 Å
α = 90.00°, β = 90.00°, γ = 120.00°
Positions (direct):
1 Cd 0.667 0.333 0.000
2 Cd 0.333 0.667 0.000
3 Gd 0.000 0.000 0.500

Calculated values
Final energy   -7.47 eV for the cell shown
E_form   -341.3 meV per atom

---

(10)
# Sc4TlZnC2

A relaxed Sc4TlZnC2 crystal (GGA-PBE, OQMD).

a = 3.348 Å, b = 3.348 Å, c = 14.936 Å
α = 90.00°, β = 90.00°, γ = 120.00°
Positions (direct):
1 C 0.333 0.667 0.256
2 C 0.333 0.667 0.744
3 Sc 0.667 0.333 0.173
4 Sc 0.000 0.000 0.337
5 Sc 0.000 0.000 0.663
6 Sc 0.667 0.333 0.827
7 Tl 0.000 0.000 0.000
8 Zn 0.667 0.333 0.500

Calculated values
Final energy   -50.88 eV for the cell shown

---

(11)
# CoNiIr2

A relaxed CoNiIr2 crystal (GGA-PBE, OQMD).

a = 4.199 Å, b = 4.199 Å, c = 4.199 Å
α = 60.00°, β = 60.00°, γ = 60.00°
Positions (direct):
1 Co 0.500 0.500 0.500
2 Ir 0.000 0.000 0.000
3 Ir 0.250 0.250 0.250
4 Ni 0.750 0.750 0.750

Calculated values
Polymorph energy (0 for the lowest one)   0.0 meV/atom
Final energy   -29.16 eV for the cell shown
E_form   304.8 meV per atom

---

(12)
# SmTmFe2Si2

A relaxed SmTmFe2Si2 crystal (GGA-PBE, OQMD).

a = 4.029 Å, b = 4.029 Å, c = 6.527 Å
α = 90.00°, β = 90.00°, γ = 90.00°
Positions (direct):
1 Fe 0.500 0.000 0.995
2 Fe 0.000 0.500 0.995
3 Si 0.500 0.500 0.174
4 Si 0.000 0.000 0.819
5 Sm 0.000 0.000 0.325
6 Tm 0.500 0.500 0.692

Calculated values
Final energy   -40.38 eV for the cell shown